--- one ---
Sc5Tc: optimized geometry, GGA-PBE.

abc: 5.6963 5.6963 5.6963
angles: 60.00 60.00 60.00
Closest atoms and distances in Å follow each position.
Fractional coordinates of all 6 atoms:
Sc  0.0000  0.0000  0.0000  12 Sc 3.34, 4 Tc 3.49
Sc  0.1287  0.6238  0.6238  6 Sc 2.82-2.88
Sc  0.6238  0.1287  0.6238  6 Sc 2.82-2.88
Sc  0.6238  0.6238  0.1287  6 Sc 2.82-2.88
Sc  0.6238  0.6238  0.6238  6 Sc 2.82-2.88
Tc  0.2500  0.2500  0.2500  16 Sc 3.34-3.49

--- two ---
Sc5Tc: optimized geometry, GGA-PBE.

abc: 5.3696 5.3696 5.4566
angles: 90.00 90.00 120.00
Closest atoms and distances in Å follow each position.
Fractional coordinates of all 6 atoms:
Sc  0.0000  0.5000  0.0000  4 Sc 2.68
Sc  0.3333  0.6667  0.5000  3 Tc 3.10, 9 Sc 3.10-3.14
Sc  0.5000  0.0000  0.0000  4 Sc 2.68
Sc  0.5000  0.5000  0.0000  4 Sc 2.68
Sc  0.6667  0.3333  0.5000  3 Tc 3.10, 9 Sc 3.10-3.14
Tc  0.0000  0.0000  0.5000  6 Sc 3.10

--- three ---
Sc5Tc: optimized geometry, GGA-PBE.

abc: 5.8518 5.8518 7.6323
angles: 110.53 110.53 33.37
Closest atoms and distances in Å follow each position.
Fractional coordinates of all 6 atoms:
Sc  0.0000  0.0000  0.0000  10 Sc 3.12-3.36
Sc  0.3375  0.3375  0.2132  2 Tc 2.83, 2 Sc 3.12-3.14
Sc  0.3634  0.3634  0.6366  2 Tc 2.72
Sc  0.6366  0.6366  0.3634  2 Tc 2.72
Sc  0.6625  0.6625  0.7868  2 Tc 2.83, 2 Sc 3.12-3.14
Tc  0.0000  0.0000  0.5000  8 Sc 2.72-2.83

The winner here is three, beating the second structure by 584 meV/atom.